1.
An optimized crystal structure of Pm2In4Ag3. Source: Alexandria, functional PBE.

Cell lengths 6.2191, 8.4038, 8.8198 Å; angles 90.00, 110.64, 90.00 degrees
With the nearest neighbours (Å) after each atom.
Atoms (fractional coordinates):
1 Ag 0.0000 0.0000 0.0000  6 In 2.81-2.92
2 In 0.3121 0.2500 0.1243  3 Ag 2.81-2.86, 2 In 3.11
3 Ag 0.5148 0.7500 0.5297  5 In 2.86-2.91, 2 Ag 3.11
4 Ag 0.9852 0.2500 0.4703  5 In 2.86-2.91, 2 Ag 3.11
5 In 0.8237 0.0191 0.6473  5 Ag 2.88-2.92
6 In 0.6879 0.7500 0.8757  3 Ag 2.81-2.86, 2 In 3.11
7 In 0.3237 0.4809 0.6473  5 Ag 2.88-2.92
8 In 0.6763 0.5191 0.3527  5 Ag 2.88-2.92
9 Pm 0.6059 0.9034 0.2118  4 Ag 3.31-3.66, 7 In 3.38-3.43
10 In 0.8121 0.2500 0.1243  3 Ag 2.81-2.86, 2 In 3.11
11 Pm 0.8941 0.4034 0.7882  4 Ag 3.31-3.66, 7 In 3.38-3.43
12 Ag 0.0148 0.7500 0.5297  5 In 2.86-2.91, 2 Ag 3.11
13 In 0.1879 0.7500 0.8757  3 Ag 2.81-2.86, 2 In 3.11
14 Ag 0.4852 0.2500 0.4703  5 In 2.86-2.91, 2 Ag 3.11
15 Ag 0.5000 0.5000 0.0000  6 In 2.81-2.92
16 In 0.1763 0.9809 0.3527  5 Ag 2.88-2.92
17 Pm 0.3941 0.0966 0.7882  4 Ag 3.31-3.66, 7 In 3.38-3.43
18 Pm 0.1059 0.5966 0.2118  4 Ag 3.31-3.66, 7 In 3.38-3.43

Computed properties:
Energy: -3.527 eV per atom
SG: Cmce (64)

---

2.
An optimized crystal structure of Ge2Pb2Cl. Source: Alexandria, functional PBE.

Cell lengths 8.5631, 8.5631, 3.5958 Å; angles 90.00, 90.00, 90.00 degrees
With the nearest neighbours (Å) after each atom.
Atoms (fractional coordinates):
1 Cl 0.5000 0.5000 0.0000  4 Ge 3.45, 2 Cl 3.60, 8 Pb 3.63
2 Pb 0.1778 0.6778 0.5000  6 Ge 3.11-3.12
3 Ge 0.3870 0.8870 0.0000  1 Ge 2.74
4 Pb 0.6778 0.8222 0.5000  6 Ge 3.11-3.12
5 Ge 0.1130 0.3870 0.0000  1 Ge 2.74
6 Ge 0.8870 0.6130 0.0000  1 Ge 2.74
7 Pb 0.3222 0.1778 0.5000  6 Ge 3.11-3.12
8 Cl 0.0000 0.0000 0.0000  4 Ge 3.45, 2 Cl 3.60, 8 Pb 3.63
9 Ge 0.6130 0.1130 0.0000  1 Ge 2.74
10 Pb 0.8222 0.3222 0.5000  6 Ge 3.11-3.12

Computed properties:
Energy relative to the elements, uncorrected: 0.06 eV per atom
SG: P4/mbm (127)

---

3.
An optimized crystal structure of Ca2TlHg4. Source: Alexandria, functional PBE.

Cell lengths 5.3428, 5.3428, 8.2338 Å; angles 71.07, 71.07, 60.00 degrees
With the nearest neighbours (Å) after each atom.
Atoms (fractional coordinates):
1 Hg 0.5764 0.5764 0.2708  4 Ca 3.17-3.39, 4 Hg 3.26-3.50
2 Hg 0.4236 0.4236 0.7292  4 Ca 3.17-3.39, 4 Hg 3.26-3.50
3 Hg 0.8636 0.8636 0.4093  1 Tl 3.13, 1 Ca 3.19, 6 Hg 3.26-3.38
4 Ca 0.7244 0.7244 0.8269  5 Hg 3.17-3.39, 3 Tl 3.36
5 Tl 0.0000 0.0000 0.0000  2 Hg 3.13, 6 Ca 3.36
6 Ca 0.2756 0.2756 0.1731  5 Hg 3.17-3.39, 3 Tl 3.36
7 Hg 0.1364 0.1364 0.5907  1 Tl 3.13, 1 Ca 3.19, 6 Hg 3.26-3.38

Computed properties:
Energy: -1.411 eV per atom
SG: R-3m (166)

---

4.
An optimized crystal structure of PrZrAg2. Source: Alexandria, functional PBE.

Cell lengths 5.1263, 5.1263, 5.1263 Å; angles 60.00, 60.00, 60.00 degrees
With the nearest neighbours (Å) after each atom.
Atoms (fractional coordinates):
1 Ag 0.2500 0.2500 0.2500  4 Zr 3.14, 4 Pr 3.14
2 Ag 0.7500 0.7500 0.7500  4 Zr 3.14, 4 Pr 3.14
3 Pr 0.0000 0.0000 0.0000  8 Ag 3.14
4 Zr 0.5000 0.5000 0.5000  8 Ag 3.14

Computed properties:
Energy: -4.767 eV per atom
SG: Fm-3m (225)

---

5.
An optimized crystal structure of Mo4Ru5. Source: Alexandria, functional PBE.

Cell lengths 6.2053, 6.2053, 6.2053 Å; angles 95.49, 95.49, 143.96 degrees
With the nearest neighbours (Å) after each atom.
Atoms (fractional coordinates):
1 Mo 0.6807 0.0000 0.6807  7 Ru 2.66-2.80, 4 Mo 2.87
2 Mo 0.0000 0.3193 0.3193  7 Ru 2.66-2.80, 4 Mo 2.87
3 Ru 0.3355 0.3355 0.6710  6 Mo 2.69-2.80, 6 Ru 2.73-2.79
4 Ru 0.0000 0.0000 0.0000  4 Mo 2.66, 8 Ru 2.73
5 Mo 0.3193 0.0000 0.3193  7 Ru 2.66-2.80, 4 Mo 2.87
6 Ru 0.6645 0.3355 0.0000  6 Mo 2.69-2.80, 6 Ru 2.73-2.79
7 Mo 0.0000 0.6807 0.6807  7 Ru 2.66-2.80, 4 Mo 2.87
8 Ru 0.3355 0.6645 0.0000  6 Mo 2.69-2.80, 6 Ru 2.73-2.79
9 Ru 0.6645 0.6645 0.3290  6 Mo 2.69-2.80, 6 Ru 2.73-2.79

Computed properties:
Energy: -9.912 eV per atom
SG: I4/mmm (139)

---

6.
An optimized crystal structure of NaZr2Pd2. Source: Alexandria, functional PBE.

Cell lengths 8.3646, 8.3646, 2.9414 Å; angles 90.00, 90.00, 90.00 degrees
With the nearest neighbours (Å) after each atom.
Atoms (fractional coordinates):
1 Zr 0.6373 0.1373 0.0000  6 Pd 2.84-2.88, 2 Zr 2.94
2 Zr 0.3627 0.8627 0.0000  6 Pd 2.84-2.88, 2 Zr 2.94
3 Pd 0.3422 0.1578 0.5000  6 Zr 2.84-2.88, 2 Pd 2.94
4 Zr 0.1373 0.3627 0.0000  6 Pd 2.84-2.88, 2 Zr 2.94
5 Pd 0.8422 0.3422 0.5000  6 Zr 2.84-2.88, 2 Pd 2.94
6 Na 0.5000 0.5000 0.0000  2 Na 2.94, 4 Zr 3.24
7 Pd 0.6578 0.8422 0.5000  6 Zr 2.84-2.88, 2 Pd 2.94
8 Pd 0.1578 0.6578 0.5000  6 Zr 2.84-2.88, 2 Pd 2.94
9 Na 0.0000 0.0000 0.0000  2 Na 2.94, 4 Zr 3.24
10 Zr 0.8627 0.6373 0.0000  6 Pd 2.84-2.88, 2 Zr 2.94

Computed properties:
Energy: -6.047 eV per atom
SG: P4/mbm (127)

---

7.
An optimized crystal structure of Tb9Pr4Ho11. Source: Alexandria, functional PBE.

Cell lengths 3.7053, 15.1022, 15.1022 Å; angles 112.69, 90.00, 90.00 degrees
With the nearest neighbours (Å) after each atom.
Atoms (fractional coordinates):
1 Tb 0.5000 0.9350 0.7885  8 Ho 3.49-3.67, 1 Pr 3.54, 3 Tb 3.68-3.71
2 Pr 0.5000 0.4461 0.2461  6 Ho 3.29-3.41, 3 Tb 3.54-3.60
3 Ho 0.0000 0.9552 0.5927  2 Pr 3.41, 6 Tb 3.47-3.70, 3 Ho 3.55-3.71
4 Ho 0.0000 0.3630 0.6370  4 Pr 3.31, 4 Tb 3.55
5 Ho 0.0000 0.2848 0.2848  4 Pr 3.29, 4 Tb 3.58
6 Ho 0.0000 0.0000 0.0000  8 Tb 3.49, 2 Ho 3.71
7 Tb 0.5000 0.8385 0.3653  3 Tb 3.41-3.71, 8 Ho 3.47-3.70, 1 Pr 3.54
8 Pr 0.5000 0.2461 0.4461  6 Ho 3.29-3.41, 3 Tb 3.54-3.60
9 Ho 0.0000 0.7152 0.7152  4 Pr 3.29, 4 Tb 3.58
10 Tb 0.5000 0.1615 0.6347  3 Tb 3.41-3.71, 8 Ho 3.47-3.70, 1 Pr 3.54
11 Ho 0.0000 0.1591 0.8409  8 Tb 3.64-3.67, 5 Ho 3.71-4.00
12 Tb 0.5000 0.2115 0.0650  8 Ho 3.49-3.67, 1 Pr 3.54, 3 Tb 3.68-3.71
13 Ho 0.0000 0.8409 0.1591  8 Tb 3.64-3.67, 5 Ho 3.71-4.00
14 Tb 0.5000 0.5000 0.5000  4 Pr 3.60, 2 Tb 3.71, 4 Ho 3.91
15 Tb 0.5000 0.3653 0.8385  3 Tb 3.41-3.71, 8 Ho 3.47-3.70, 1 Pr 3.54
16 Ho 0.0000 0.0448 0.4073  2 Pr 3.41, 6 Tb 3.47-3.70, 3 Ho 3.55-3.71
17 Tb 0.5000 0.6347 0.1615  3 Tb 3.41-3.71, 8 Ho 3.47-3.70, 1 Pr 3.54
18 Ho 0.0000 0.4073 0.0448  2 Pr 3.41, 6 Tb 3.47-3.70, 3 Ho 3.55-3.71
19 Pr 0.5000 0.7539 0.5539  6 Ho 3.29-3.41, 3 Tb 3.54-3.60
20 Tb 0.5000 0.0650 0.2115  8 Ho 3.49-3.67, 1 Pr 3.54, 3 Tb 3.68-3.71
21 Tb 0.5000 0.7885 0.9350  8 Ho 3.49-3.67, 1 Pr 3.54, 3 Tb 3.68-3.71
22 Ho 0.0000 0.5927 0.9552  2 Pr 3.41, 6 Tb 3.47-3.70, 3 Ho 3.55-3.71
23 Pr 0.5000 0.5539 0.7539  6 Ho 3.29-3.41, 3 Tb 3.54-3.60
24 Ho 0.0000 0.6370 0.3630  4 Pr 3.31, 4 Tb 3.55

Computed properties:
Energy: -4.569 eV per atom
SG: Cmmm (65)

---

8.
An optimized crystal structure of HgBiP2S. Source: Alexandria, functional PBE.

Cell lengths 4.9836, 4.9836, 4.9636 Å; angles 90.00, 90.00, 90.00 degrees
With the nearest neighbours (Å) after each atom.
Atoms (fractional coordinates):
1 P 0.0000 0.5000 0.0000  2 Hg 2.49
2 P 0.5000 0.0000 0.0000  2 Hg 2.49
3 Bi 0.5000 0.5000 0.5000  8 P 3.52, 4 S 3.52
4 Hg 0.0000 0.0000 0.0000  2 S 2.48, 4 P 2.49
5 S 0.0000 0.0000 0.5000  2 Hg 2.48

Computed properties:
Energy relative to the elements, uncorrected: 0.98 eV per atom
SG: P4/mmm (123)

---

9.
An optimized crystal structure of YHf2Pd2. Source: Alexandria, functional PBE.

Cell lengths 4.5863, 4.5863, 6.2605 Å; angles 68.51, 68.51, 90.00 degrees
With the nearest neighbours (Å) after each atom.
Atoms (fractional coordinates):
1 Y 0.0000 0.0000 0.0000  8 Pd 3.49, 8 Hf 3.53
2 Pd 0.3785 0.3785 0.2430  1 Pd 2.60, 4 Hf 2.67
3 Hf 0.2500 0.7500 0.5000  4 Pd 2.67
4 Hf 0.7500 0.2500 0.5000  4 Pd 2.67
5 Pd 0.6215 0.6215 0.7570  1 Pd 2.60, 4 Hf 2.67

Computed properties:
Energy: -7.841 eV per atom
SG: I4/mmm (139)

---

10.
An optimized crystal structure of MnNi2Ru. Source: Alexandria, functional PBE.

Cell lengths 4.9954, 4.9954, 6.3750 Å; angles 66.93, 66.93, 90.00 degrees
With the nearest neighbours (Å) after each atom.
Atoms (fractional coordinates):
1 Ni 0.6051 0.1250 0.2500  2 Mn 2.15, 2 Ru 2.27
2 Ru 0.7500 0.2500 0.5000  4 Ni 2.27
3 Ni 0.3750 0.3949 0.7500  2 Mn 2.15, 2 Ru 2.27
4 Ni 0.8750 0.8551 0.7500  2 Mn 2.15, 2 Ru 2.27
5 Mn 0.2500 0.7500 0.5000  4 Ni 2.15
6 Ru 0.0000 0.0000 0.0000  4 Ni 2.27
7 Ni 0.1449 0.6250 0.2500  2 Mn 2.15, 2 Ru 2.27
8 Mn 0.5000 0.5000 0.0000  4 Ni 2.15

Computed properties:
Energy: -6.107 eV per atom
SG: I-42d (122)

---

11.
An optimized crystal structure of CaTi. Source: Alexandria, functional PBE.

Cell lengths 6.2031, 6.2031, 6.2031 Å; angles 90.00, 90.00, 90.00 degrees
With the nearest neighbours (Å) after each atom.
Atoms (fractional coordinates):
1 Ca 0.5000 0.5000 0.0000  6 Ti 3.10
2 Ca 0.5000 0.0000 0.5000  6 Ti 3.10
3 Ti 0.5000 0.0000 0.0000  6 Ca 3.10
4 Ti 0.0000 0.0000 0.5000  6 Ca 3.10
5 Ti 0.5000 0.5000 0.5000  6 Ca 3.10
6 Ti 0.0000 0.5000 0.0000  6 Ca 3.10
7 Ca 0.0000 0.0000 0.0000  6 Ti 3.10
8 Ca 0.0000 0.5000 0.5000  6 Ti 3.10

Computed properties:
Energy: -3.731 eV per atom
SG: Fm-3m (225)

---

| no. | ρ (g/cm³) |
| --- | --- |
| 1 | 8.260 |
| 2 | 7.496 |
| 3 | 9.563 |
| 4 | 7.807 |
| 5 | 11.044 |
| 6 | 6.750 |
| 7 | 8.110 |
| 8 | 6.783 |
| 9 | 9.711 |
| 10 | 6.856 |
| 11 | 2.447 |